# 1
# MgCrSi2 | Alexandria via LeMat-Bulk | PBE | optimized geometry
# - E: -5.53 eV/atom
# - Total moment: 0.9 μB/cell
data_MgCrSi2
_space_group_name_H-M_alt 'P 1'
_space_group_IT_number 1
_cell_length_a 3.034
_cell_length_b 3.030
_cell_length_c 6.953
_cell_angle_alpha 67.04
_cell_angle_beta 90.00
_cell_angle_gamma 90.00
loop_
_space_group_symop_operation_xyz
'x,y,z'
loop_
_atom_site_label
_atom_site_fract_x
_atom_site_fract_y
_atom_site_fract_z
Si1 0.000 0.570 0.445
Si2 0.000 0.930 0.055
Cr1 0.500 0.250 0.250
Mg1 0.500 0.750 0.750

=====

# 2
# KRbSb2As | Alexandria via LeMat-Bulk | PBE | optimized geometry
# - E: -3.01 eV/atom
# - Total moment: 0.0 μB/cell
data_KRbSb2As
_space_group_name_H-M_alt 'P 1'
_space_group_IT_number 1
_cell_length_a 5.654
_cell_length_b 6.013
_cell_length_c 5.654
_cell_angle_alpha 90.00
_cell_angle_beta 90.00
_cell_angle_gamma 90.00
loop_
_space_group_symop_operation_xyz
'x,y,z'
loop_
_atom_site_label
_atom_site_fract_x
_atom_site_fract_y
_atom_site_fract_z
As1 0.000 0.000 0.000
K1 0.000 0.500 0.000
Rb1 0.500 0.500 0.500
Sb1 0.000 0.000 0.500
Sb2 0.500 0.000 0.000

=====

# 3
# NdSm6YHo2 | Alexandria via LeMat-Bulk | PBE | optimized geometry
# - Total moment: 0.0 μB/cell
# - Energy of formation from the pure elements: 1.2 eV/f.u.
data_NdSm6YHo2
_space_group_name_H-M_alt 'P 1'
_space_group_IT_number 1
_cell_length_a 9.701
_cell_length_b 8.910
_cell_length_c 8.910
_cell_angle_alpha 117.96
_cell_angle_beta 94.01
_cell_angle_gamma 94.01
loop_
_space_group_symop_operation_xyz
'x,y,z'
loop_
_atom_site_label
_atom_site_fract_x
_atom_site_fract_y
_atom_site_fract_z
Ho1 0.956 0.703 0.805
Ho2 0.044 0.297 0.195
Ho3 0.544 0.195 0.297
Ho4 0.456 0.805 0.703
Sm1 0.816 0.432 0.979
Sm2 0.945 0.883 0.244
Sm3 0.055 0.117 0.756
Sm4 0.316 0.979 0.432
Sm5 0.555 0.756 0.117
Sm6 0.379 0.505 0.292
Sm7 0.879 0.292 0.505
Sm8 0.121 0.708 0.495
Sm9 0.184 0.568 0.021
Sm10 0.445 0.244 0.883
Sm11 0.684 0.021 0.568
Sm12 0.621 0.495 0.708
Y1 0.250 0.974 0.026
Y2 0.750 0.026 0.974
Nd1 0.750 0.593 0.407
Nd2 0.250 0.407 0.593

=====

# 4
# CdTc2Mo | Alexandria via LeMat-Bulk | PBE | optimized geometry
# - Total moment: 0.0 μB/cell
# - Energy of formation from the pure elements: 1.4 eV/f.u.
data_CdTc2Mo
_space_group_name_H-M_alt 'P 1'
_space_group_IT_number 1
_cell_length_a 2.734
_cell_length_b 2.734
_cell_length_c 9.360
_cell_angle_alpha 90.00
_cell_angle_beta 90.00
_cell_angle_gamma 111.15
loop_
_space_group_symop_operation_xyz
'x,y,z'
loop_
_atom_site_label
_atom_site_fract_x
_atom_site_fract_y
_atom_site_fract_z
Cd1 0.000 0.000 0.498
Mo1 0.500 0.500 0.770
Tc1 0.500 0.500 0.230
Tc2 0.000 0.000 0.003

=====

# 5
# Pr5BCl5 | Alexandria via LeMat-Bulk | PBE | optimized geometry
# - E: -5.05 eV/atom
# - Total moment: 0.0 μB/cell
data_Pr5BCl5
_space_group_name_H-M_alt 'P 1'
_space_group_IT_number 1
_cell_length_a 5.715
_cell_length_b 6.923
_cell_length_c 8.396
_cell_angle_alpha 107.07
_cell_angle_beta 90.00
_cell_angle_gamma 114.38
loop_
_space_group_symop_operation_xyz
'x,y,z'
loop_
_atom_site_label
_atom_site_fract_x
_atom_site_fract_y
_atom_site_fract_z
Cl1 0.346 0.693 0.198
Cl2 0.337 0.674 0.652
Cl3 0.654 0.307 0.802
Cl4 0.000 0.000 0.500
Cl5 0.663 0.326 0.348
Pr1 0.149 0.299 0.295
Pr2 0.851 0.701 0.705
Pr3 0.500 0.000 0.000
Pr4 0.163 0.326 0.862
Pr5 0.837 0.674 0.138
B1 0.000 0.000 0.000

=====

# 6
# LiOs2Au | Alexandria via LeMat-Bulk | PBE | optimized geometry
# - Total moment: 0.0 μB/cell
# - Energy above the most stable polymorph in this dataset: 133 meV per atom
# - Energy of formation from the pure elements: 1.1 eV/f.u.
data_LiOs2Au
_space_group_name_H-M_alt 'P 1'
_space_group_IT_number 1
_cell_length_a 5.711
_cell_length_b 5.711
_cell_length_c 4.256
_cell_angle_alpha 77.35
_cell_angle_beta 77.35
_cell_angle_gamma 27.68
loop_
_space_group_symop_operation_xyz
'x,y,z'
loop_
_atom_site_label
_atom_site_fract_x
_atom_site_fract_y
_atom_site_fract_z
Os1 0.533 0.533 0.483
Os2 0.967 0.967 0.017
Li1 0.750 0.750 0.750
Au1 0.250 0.250 0.250

=====

# 7
# Dy8Tl3Bi2 | Alexandria via LeMat-Bulk | PBE | optimized geometry
# - Total moment: 0.7 μB/cell
# - Energy of formation from the pure elements: -3.3 eV/f.u.
data_Dy8Tl3Bi2
_space_group_name_H-M_alt 'P 1'
_space_group_IT_number 1
_cell_length_a 5.079
_cell_length_b 10.388
_cell_length_c 9.313
_cell_angle_alpha 123.90
_cell_angle_beta 90.00
_cell_angle_gamma 90.00
loop_
_space_group_symop_operation_xyz
'x,y,z'
loop_
_atom_site_label
_atom_site_fract_x
_atom_site_fract_y
_atom_site_fract_z
Dy1 0.500 0.119 0.750
Dy2 0.000 0.130 0.261
Dy3 0.500 0.369 0.250
Dy4 0.000 0.615 0.231
Dy5 0.500 0.631 0.750
Dy6 0.000 0.870 0.739
Dy7 0.500 0.881 0.250
Dy8 0.000 0.385 0.769
Tl1 0.000 0.252 0.000
Tl2 0.500 0.000 0.000
Tl3 0.000 0.748 0.000
Bi1 0.500 0.738 0.477
Bi2 0.500 0.262 0.523

=====

# 8
# Pr3SmEr7 | Alexandria via LeMat-Bulk | PBE | optimized geometry
# - Total moment: 0.0 μB/cell
# - Energy above the most stable polymorph in this dataset: 49 meV per atom
# - Energy of formation from the pure elements: 2.5 eV/f.u.
data_Pr3SmEr7
_space_group_name_H-M_alt 'P 1'
_space_group_IT_number 1
_cell_length_a 6.385
_cell_length_b 7.674
_cell_length_c 7.675
_cell_angle_alpha 81.92
_cell_angle_beta 86.65
_cell_angle_gamma 86.65
loop_
_space_group_symop_operation_xyz
'x,y,z'
loop_
_atom_site_label
_atom_site_fract_x
_atom_site_fract_y
_atom_site_fract_z
Er1 0.737 0.573 0.911
Er2 0.793 0.240 0.240
Er3 0.207 0.760 0.760
Er4 0.000 0.500 0.500
Er5 0.263 0.427 0.089
Er6 0.737 0.911 0.573
Er7 0.263 0.089 0.427
Pr1 0.500 0.000 0.000
Pr2 0.000 0.177 0.823
Pr3 0.000 0.823 0.177
Sm1 0.500 0.500 0.500

=====

# 9
# Nb2TcSbH | Alexandria via LeMat-Bulk | PBE | optimized geometry
# - E: -7.65 eV/atom
# - Total moment: 0.0 μB/cell
data_Nb2TcSbH
_space_group_name_H-M_alt 'P 1'
_space_group_IT_number 1
_cell_length_a 4.143
_cell_length_b 4.143
_cell_length_c 4.260
_cell_angle_alpha 90.00
_cell_angle_beta 90.00
_cell_angle_gamma 90.00
loop_
_space_group_symop_operation_xyz
'x,y,z'
loop_
_atom_site_label
_atom_site_fract_x
_atom_site_fract_y
_atom_site_fract_z
Sb1 0.500 0.500 0.500
Nb1 0.500 0.000 0.000
Nb2 0.000 0.500 0.000
Tc1 0.000 0.000 0.500
H1 0.000 0.000 0.000

=====

# 10
# La2GaPdAu6 | Alexandria via LeMat-Bulk | PBE | optimized geometry
# - Total moment: 0.0 μB/cell
# - Energy of formation from the pure elements: -5.2 eV/f.u.
data_La2GaPdAu6
_space_group_name_H-M_alt 'P 1'
_space_group_IT_number 1
_cell_length_a 6.760
_cell_length_b 7.338
_cell_length_c 6.747
_cell_angle_alpha 80.02
_cell_angle_beta 47.48
_cell_angle_gamma 97.03
loop_
_space_group_symop_operation_xyz
'x,y,z'
loop_
_atom_site_label
_atom_site_fract_x
_atom_site_fract_y
_atom_site_fract_z
La1 0.277 0.801 0.478
La2 0.723 0.199 0.522
Ga1 0.500 0.500 0.000
Au1 0.244 0.407 0.837
Au2 0.783 0.766 0.511
Au3 0.217 0.234 0.489
Au4 0.281 0.768 0.011
Au5 0.719 0.232 0.989
Au6 0.756 0.593 0.163
Pd1 0.000 0.000 0.000